<1>
An optimized crystal structure of ZrInCu3S4, computed with GGA-PBE.

Structure (extended XYZ):
```
18
Lattice="-4.981 -2.899 0.247 0.575 -1.587 -7.040 6.456 -6.584 2.012" Properties=species:S:1:pos:R:3 pbc="T T T"
S -2.320 -2.227 -1.549
S 4.370 -8.844 -3.232
S 2.347 -5.086 -0.523
S 0.943 -8.597 -1.802
S 1.107 -2.473 -2.979
S 0.834 -1.720 0.361
S -0.297 -5.985 -4.258
S 1.216 -9.350 -5.142
In 3.437 -5.810 -3.993
In -1.387 -5.261 -0.788
Cu -3.467 -3.255 -3.633
Cu 5.285 -7.176 1.688
Cu 5.517 -7.816 -1.148
Cu -2.452 -5.488 -4.546
Cu 4.502 -5.583 -0.235
Cu -3.235 -3.895 -6.469
Zr -0.097 -3.639 -4.771
Zr 2.148 -7.432 -0.010
```


<2>
An optimized crystal structure of ZrInCu3S4, computed with GGA-PBE.

Structure (extended XYZ):
```
9
Lattice="-5.288 0.659 2.659 -0.013 -5.787 1.408 2.739 1.245 5.140" Properties=species:S:1:pos:R:3 pbc="T T T"
S -1.865 -0.170 6.075
S 0.565 -3.139 5.499
S -0.691 -1.047 2.483
S -3.133 -3.409 4.356
Cu 1.363 -2.271 3.274
Cu -2.651 -2.564 2.034
Cu -1.274 0.952 3.899
In 0.000 0.000 0.000
Zr -1.281 -1.941 4.603
```


Which is most stable, and by how much? <1>, by 83 meV per atom.


<1>
An optimized crystal structure of ScInCuTc, computed with GGA-PBE.

Structure (extended XYZ):
```
4
Lattice="-0.963 0.852 4.415 -4.375 0.331 1.376 -1.839 -3.294 2.629" Properties=species:S:1:pos:R:3 pbc="T T T"
Tc -3.589 -1.056 4.210
Cu -1.794 -0.528 2.105
Sc -5.383 -1.584 6.315
In 0.000 0.000 0.000
```


<2>
An optimized crystal structure of ScInCuTc, computed with GGA-PBE.

Structure (extended XYZ):
```
4
Lattice="0.000 3.246 3.246 3.246 0.000 3.246 3.246 3.246 0.000" Properties=species:S:1:pos:R:3 pbc="T T T"
Sc 3.246 3.246 3.246
In 0.000 0.000 0.000
Cu 4.868 4.868 4.868
Tc 1.623 1.623 1.623
```


Which is most stable, and by how much? <2>, by 211 meV per atom.


<1>
An optimized crystal structure of InCuSe, computed with GGA-PBE.

Structure (extended XYZ):
```
6
Lattice="-0.446 -4.056 -1.148 3.964 -0.011 -1.502 2.515 -2.159 6.654" Properties=species:S:1:pos:R:3 pbc="T T T"
Cu 3.017 -3.113 2.002
Cu 1.258 -1.080 3.327
Se 0.552 -2.693 1.476
Se 3.723 -1.500 3.854
In 1.878 -3.832 4.984
In 2.396 -0.361 0.345
```


<2>
An optimized crystal structure of InCuSe, computed with GGA-PBE.

Structure (extended XYZ):
```
6
Lattice="3.908 0.000 0.000 0.000 3.908 0.000 0.000 0.000 8.778" Properties=species:S:1:pos:R:3 pbc="T T T"
Se 0.000 1.954 1.604
Se 1.954 0.000 7.174
In 0.000 1.954 5.690
In 1.954 0.000 3.089
Cu 1.954 1.954 0.000
Cu 0.000 0.000 0.000
```


Which is most stable, and by how much? <2>, by 22 meV per atom.


<1>
An optimized crystal structure of InCu3SnSe4, computed with GGA-PBE.

Structure (extended XYZ):
```
18
Lattice="5.953 0.000 0.000 0.000 7.591 0.000 -2.825 0.000 9.445" Properties=species:S:1:pos:R:3 pbc="T T T"
Se 1.419 3.920 6.812
Se -1.486 1.898 8.909
Se 4.673 1.898 4.263
Se 1.709 0.125 2.633
Se -1.545 5.693 5.181
Se 1.419 7.466 6.812
Se 1.709 3.671 2.633
Se 4.614 5.693 0.536
Sn -0.227 1.898 6.672
Sn 3.355 5.693 2.773
Cu 2.778 0.546 4.929
Cu 0.311 5.693 2.281
Cu 2.816 1.898 7.164
Cu 0.350 7.045 4.515
Cu 2.778 3.250 4.929
Cu 0.350 4.341 4.515
In -1.174 5.693 8.720
In 4.302 1.898 0.725
```


<2>
An optimized crystal structure of InCu3SnSe4, computed with GGA-PBE.

Structure (extended XYZ):
```
9
Lattice="-1.798 -1.382 -5.647 5.807 -0.701 -1.678 -0.269 -5.884 1.526" Properties=species:S:1:pos:R:3 pbc="T T T"
Cu 2.004 -1.042 -3.662
Cu 2.769 -3.293 -0.076
Cu -1.034 -3.633 -2.060
Se 0.926 -1.973 -1.436
Se 3.721 -5.297 -1.512
Se 2.950 -3.024 -5.133
Se -0.118 -5.641 -3.516
In 0.000 0.000 0.000
Sn 1.870 -3.984 -2.899
```


Which is most stable, and by how much? <1>, by 56 meV per atom.


<1>
An optimized crystal structure of TbInCu3Se4, computed with GGA-PBE.

Structure (extended XYZ):
```
18
Lattice="6.038 0.000 0.000 0.000 7.306 0.000 -2.158 0.000 9.773" Properties=species:S:1:pos:R:3 pbc="T T T"
Se 2.076 0.190 6.948
Se 1.805 7.116 2.825
Se 2.076 3.463 6.948
Se 4.894 5.479 4.211
Se -0.693 5.479 9.195
Se 4.574 1.826 0.578
Se 1.805 3.843 2.825
Se -1.013 1.826 5.562
Cu 3.213 0.474 4.663
Cu 0.668 4.127 5.110
Cu 2.966 1.826 2.308
Cu 0.915 5.479 7.465
Cu 3.213 3.179 4.663
Cu 0.668 6.832 5.110
Tb -0.077 1.826 2.941
Tb 3.958 5.479 6.832
In 4.224 5.479 0.825
In -0.343 1.826 8.948
```


<2>
An optimized crystal structure of TbInCu3Se4, computed with GGA-PBE.

Structure (extended XYZ):
```
9
Lattice="-5.885 1.136 1.360 -1.541 -0.947 -5.874 -0.876 -5.965 1.191" Properties=species:S:1:pos:R:3 pbc="T T T"
Cu -3.713 0.095 -2.257
Cu -1.209 -3.456 -2.341
Cu -3.381 -2.414 1.276
Se -2.102 -1.463 -0.841
Se -3.295 -4.874 -3.152
Se -5.439 -3.846 0.418
Se -5.767 -1.369 -3.069
In 0.000 0.000 0.000
Tb -4.151 -2.888 -1.661
```


Which is most stable, and by how much? <1>, by 78 meV per atom.


<1>
An optimized crystal structure of InCuTeSe, computed with GGA-PBE.

Structure (extended XYZ):
```
8
Lattice="-1.762 5.575 -1.628 -4.872 -2.344 -2.759 0.139 -1.106 7.365" Properties=species:S:1:pos:R:3 pbc="T T T"
Cu -2.131 1.588 2.123
Cu -2.906 0.346 -1.816
In -5.236 3.301 0.049
In -6.143 1.723 -3.938
Te -2.216 3.681 3.660
Te -4.514 -1.441 -0.833
Se -2.839 2.154 -0.163
Se -3.448 -0.128 3.272
```


<2>
An optimized crystal structure of InCuTeSe, computed with GGA-PBE.

Structure (extended XYZ):
```
8
Lattice="7.316 0.994 1.024 1.110 5.133 5.290 -4.188 -6.164 -0.182" Properties=species:S:1:pos:R:3 pbc="T T T"
Te -0.648 -0.458 1.310
Te 3.323 3.006 4.401
Se -1.398 -4.403 0.263
Se 2.988 -1.282 3.133
Cu -1.910 -2.646 1.901
Cu 1.935 -0.454 1.074
In 2.344 0.447 5.088
In 6.108 2.580 4.201
```


Which is most stable, and by how much? <1>, by 8 meV per atom.


<1>
An optimized crystal structure of TbInCu3Te4, computed with GGA-PBE.

Structure (extended XYZ):
```
18
Lattice="6.289 0.000 0.000 0.000 8.064 0.000 -2.135 0.000 10.153" Properties=species:S:1:pos:R:3 pbc="T T T"
Te 4.538 2.016 0.710
Te 1.966 0.249 7.339
Te 5.193 6.048 4.805
Te 2.188 7.815 2.814
Te -0.384 6.048 9.442
Te 1.966 3.783 7.339
Te -1.039 2.016 5.347
Te 2.188 4.282 2.814
Cu 0.811 7.843 5.064
Cu 3.343 0.221 5.088
Cu 0.583 6.048 6.980
Cu 3.572 2.016 3.172
Cu 3.343 3.811 5.088
Cu 0.811 4.253 5.064
Tb 0.345 2.016 2.693
Tb 3.810 6.048 7.459
In 4.481 6.048 1.063
In -0.327 2.016 9.090
```


<2>
An optimized crystal structure of TbInCu3Te4, computed with GGA-PBE.

Structure (extended XYZ):
```
9
Lattice="6.544 0.000 0.000 0.000 6.544 0.000 0.000 0.000 6.544" Properties=species:S:1:pos:R:3 pbc="T T T"
Te 4.894 4.894 1.650
Te 1.650 1.650 1.650
Te 4.894 1.650 4.894
Te 1.650 4.894 4.894
Cu 3.272 0.000 3.272
Cu 3.272 3.272 0.000
Cu 0.000 3.272 3.272
Tb 3.272 3.272 3.272
In 0.000 0.000 0.000
```


Which is most stable, and by how much? <1>, by 77 meV per atom.


<1>
An optimized crystal structure of YInCuTc, computed with GGA-PBE.

Structure (extended XYZ):
```
4
Lattice="-1.993 -3.456 -2.557 -4.291 0.637 -1.906 -0.460 0.488 -4.691" Properties=species:S:1:pos:R:3 pbc="T T T"
Tc -1.686 -0.583 -2.289
Cu -5.058 -1.748 -6.866
Y -3.372 -1.165 -4.577
In 0.000 0.000 0.000
```


<2>
An optimized crystal structure of YInCuTc, computed with GGA-PBE.

Structure (extended XYZ):
```
4
Lattice="0.000 3.371 3.371 3.371 0.000 3.371 3.371 3.371 0.000" Properties=species:S:1:pos:R:3 pbc="T T T"
In 0.000 0.000 0.000
Cu 5.056 5.056 5.056
Tc 3.371 3.371 3.371
Y 1.685 1.685 1.685
```


Which is most stable, and by how much? <1>, by 283 meV per atom.


<1>
An optimized crystal structure of ZnInCuW, computed with GGA-PBE.

Structure (extended XYZ):
```
4
Lattice="2.127 -3.747 -1.261 1.984 -2.599 3.077 -1.739 -4.015 1.005" Properties=species:S:1:pos:R:3 pbc="T T T"
Zn 0.593 -2.590 0.705
In 0.000 0.000 0.000
Cu 1.778 -7.770 2.116
W 1.186 -5.180 1.410
```


<2>
An optimized crystal structure of ZnInCuW, computed with GGA-PBE.

Structure (extended XYZ):
```
4
Lattice="4.405 -0.850 0.591 1.316 -3.197 2.919 1.783 -3.866 -1.531" Properties=species:S:1:pos:R:3 pbc="T T T"
Zn 3.752 -3.957 0.989
Cu 5.628 -5.935 1.484
W 1.876 -1.978 0.495
In 0.000 0.000 0.000
```


Which is most stable, and by how much? <1>, by 32 meV per atom.


<1>
An optimized crystal structure of LaNbCuIr, computed with GGA-PBE.

Structure (extended XYZ):
```
4
Lattice="0.000 3.392 3.392 3.392 0.000 3.392 3.392 3.392 0.000" Properties=species:S:1:pos:R:3 pbc="T T T"
La 3.392 3.392 3.392
Cu 5.088 5.088 5.088
Ir 1.696 1.696 1.696
Nb 0.000 0.000 0.000
```


<2>
An optimized crystal structure of LaNbCuIr, computed with GGA-PBE.

Structure (extended XYZ):
```
4
Lattice="-0.751 -3.869 -2.490 -0.646 -4.078 2.166 -4.214 -1.995 0.006" Properties=species:S:1:pos:R:3 pbc="T T T"
Nb -1.403 -2.485 -0.079
Ir 0.000 0.000 0.000
Cu -4.208 -7.456 -0.238
La -2.805 -4.971 -0.159
```


<3>
An optimized crystal structure of LaNbCuIr, computed with GGA-PBE.

Structure (extended XYZ):
```
4
Lattice="0.000 3.298 3.298 3.298 0.000 3.298 3.298 3.298 0.000" Properties=species:S:1:pos:R:3 pbc="T T T"
La 1.649 1.649 1.649
Nb 0.000 0.000 0.000
Ir 3.298 3.298 3.298
Cu 4.948 4.948 4.948
```


Which is most stable, and by how much? <2>, by 80 meV per atom.


<1>
An optimized crystal structure of LaTaCuIr, computed with GGA-PBE.

Structure (extended XYZ):
```
4
Lattice="0.000 3.385 3.385 3.385 0.000 3.385 3.385 3.385 0.000" Properties=species:S:1:pos:R:3 pbc="T T T"
Ir 1.693 1.693 1.693
Ta 0.000 0.000 0.000
Cu 5.078 5.078 5.078
La 3.385 3.385 3.385
```


<2>
An optimized crystal structure of LaTaCuIr, computed with GGA-PBE.

Structure (extended XYZ):
```
4
Lattice="1.682 -3.323 2.778 -1.898 -4.240 -0.038 2.343 -3.578 -1.814" Properties=species:S:1:pos:R:3 pbc="T T T"
La 0.532 -2.785 0.232
Ir 1.063 -5.571 0.463
Ta 0.000 0.000 0.000
Cu 1.595 -8.356 0.695
```


<3>
An optimized crystal structure of LaTaCuIr, computed with GGA-PBE.

Structure (extended XYZ):
```
4
Lattice="0.000 3.300 3.300 3.300 0.000 3.300 3.300 3.300 0.000" Properties=species:S:1:pos:R:3 pbc="T T T"
La 3.300 3.300 3.300
Ir 0.000 0.000 0.000
Cu 4.950 4.950 4.950
Ta 1.650 1.650 1.650
```


Which is most stable, and by how much? <3>, by 60 meV per atom.